An optimized crystal structure of YNpH2O6, computed with PBE.

Results
Energy ... -7.91 eV/atom
Magnetic moment ... 0.00 μB per formula unit

Cell lengths 5.446, 5.635, 5.955 Å; angles 64.28, 62.67, 56.35 degrees
Fractional coordinates of all 10 atoms:
Y 0.816 0.816 0.552
O 0.551 0.209 0.272
H 0.197 0.904 0.816
O 0.235 0.903 0.298
O 0.685 0.091 0.820
Np 0.316 0.316 0.052
O 0.082 0.424 0.831
H 0.435 0.728 0.287
O 0.948 0.541 0.284
O 0.397 0.730 0.805

***

An optimized crystal structure of NpZn2HO6, computed with PBE.

Results
Energy ... -6.56 eV/atom
Magnetic moment ... 0.06 μB per formula unit

Cell lengths 5.478, 4.465, 9.031 Å; angles 90.00, 89.99, 90.00 degrees
Last column: magnetic moment on the atom in μB.
Fractional coordinates of all 20 atoms:
Zn 0.500 0.500 0.326  0.00
O 0.354 0.236 0.158  0.00
O 0.354 0.235 0.842  0.00
O 0.146 0.735 0.658  0.00
Np 0.000 0.500 0.500  -0.09
O 0.870 0.265 0.000  0.00
O 0.146 0.736 0.342  0.00
O 0.630 0.765 0.500  0.00
Np 0.500 0.000 0.000  -0.09
O 0.370 0.235 0.500  0.00
O 0.854 0.264 0.658  0.00
Zn 0.000 0.000 0.174  0.00
O 0.130 0.735 0.000  0.00
O 0.854 0.265 0.342  0.00
O 0.646 0.765 0.158  0.00
O 0.646 0.764 0.842  0.00
H 0.000 0.500 0.000  0.00
Zn 0.500 0.500 0.674  0.00
H 0.500 0.000 0.500  0.00
Zn 0.000 0.000 0.826  0.00

***

An optimized crystal structure of NpH6Os, computed with PBE.

Results
Energy ... -5.63 eV/atom
Magnetic moment ... 3.00 μB per formula unit

Cell lengths 4.386, 4.386, 4.550 Å; angles 61.18, 61.18, 60.00 degrees
Last column: magnetic moment on the atom in μB.
Fractional coordinates of all 8 atoms:
H 0.456 0.895 0.754  -0.01
H 0.895 0.895 0.754  -0.01
H 0.105 0.105 0.246  -0.01
Os 0.000 0.000 0.000  -0.31
H 0.895 0.456 0.754  -0.01
H 0.544 0.105 0.246  -0.01
Np 0.500 0.500 0.500  3.34
H 0.105 0.544 0.246  -0.01

***

An optimized crystal structure of NpH2Os, computed with PBE.

Results
Energy ... -7.39 eV/atom
Magnetic moment ... 3.02 μB per formula unit

Cell lengths 2.923, 2.923, 6.207 Å; angles 76.38, 76.38, 60.00 degrees
Last column: magnetic moment on the atom in μB.
Fractional coordinates of all 4 atoms:
H 0.906 0.906 0.281  -0.01
H 0.094 0.094 0.719  -0.01
Os 0.000 0.000 0.000  -0.22
Np 0.500 0.500 0.500  3.21

***

An optimized crystal structure of NpH4Os, computed with PBE.

Results
Energy ... -6.33 eV/atom
Magnetic moment ... 4.00 μB per formula unit

Cell lengths 3.923, 4.730, 6.326 Å; angles 90.00, 108.06, 90.00 degrees
Last column: magnetic moment on the atom in μB.
Fractional coordinates of all 12 atoms:
H 0.000 0.500 0.000  -0.01
H 0.203 0.010 0.406  -0.01
Os 0.894 0.250 0.787  -0.12
H 0.203 0.490 0.406  -0.01
H 0.400 0.250 0.800  -0.01
H 0.797 0.510 0.594  -0.01
H 0.600 0.750 0.200  -0.01
Np 0.373 0.750 0.746  3.88
H 0.797 0.990 0.594  -0.01
Np 0.627 0.250 0.254  3.88
H 0.000 0.000 0.000  -0.01
Os 0.106 0.750 0.213  -0.12

***

An optimized crystal structure of NpHOs, computed with PBE.

Results
Energy ... -8.77 eV/atom
Magnetic moment ... 2.56 μB per formula unit

Cell lengths 3.664, 3.664, 8.170 Å; angles 77.04, 77.04, 60.00 degrees
Last column: magnetic moment on the atom in μB.
Fractional coordinates of all 6 atoms:
Np 0.229 0.229 0.314  2.87
Np 0.771 0.771 0.686  2.87
Os 0.633 0.633 0.101  -0.47
Os 0.367 0.367 0.899  -0.47
H 0.866 0.866 0.401  -0.02
H 0.134 0.134 0.599  -0.02

***

An optimized crystal structure of NpPHOs, computed with PBE.

Results
Energy ... -8.70 eV/atom
Magnetic moment ... 3.73 μB per formula unit

Cell lengths 4.013, 4.013, 6.938 Å; angles 90.00, 90.00, 90.00 degrees
Last column: magnetic moment on the atom in μB.
Fractional coordinates of all 8 atoms:
Os 0.000 0.000 0.500  -0.11
P 0.500 0.000 0.686  -0.02
H 0.000 0.000 0.000  -0.02
Np 0.000 0.500 0.852  3.63
H 0.500 0.500 0.000  -0.02
Os 0.500 0.500 0.500  -0.11
P 0.000 0.500 0.314  -0.02
Np 0.500 0.000 0.148  3.63

***

An optimized crystal structure of Np2PH, computed with PBE.

Results
Energy ... -8.96 eV/atom
Magnetic moment ... 8.39 μB per formula unit
Relative energy among the computed polymorphs ... 28.3 meV per atom

Cell lengths 4.641, 5.852, 5.852 Å; angles 114.35, 99.54, 99.54 degrees
Last column: magnetic moment on the atom in μB.
Fractional coordinates of all 8 atoms:
Np 0.361 0.899 0.153  3.97
H 0.254 0.273 0.230  -0.02
P 0.254 0.886 0.618  -0.10
Np 0.647 0.604 0.350  3.97
H 0.754 0.230 0.273  -0.02
P 0.754 0.618 0.886  -0.10
Np 0.861 0.153 0.899  3.97
Np 0.147 0.350 0.604  3.97

***

An optimized crystal structure of Np4P3H2, computed with PBE.

Results
Energy ... -8.87 eV/atom
Magnetic moment ... 1.12 μB per formula unit

Cell lengths 3.733, 6.435, 7.266 Å; angles 111.40, 104.89, 90.00 degrees
Last column: magnetic moment on the atom in μB.
Fractional coordinates of all 9 atoms:
Np 0.493 0.296 0.986  3.23
H 0.326 0.025 0.652  0.01
P 0.860 0.431 0.720  0.02
Np 0.790 0.800 0.580  -3.64
P 0.140 0.569 0.280  0.02
Np 0.507 0.704 0.014  3.23
Np 0.210 0.200 0.420  -3.64
H 0.674 0.975 0.348  0.01
P 0.000 0.000 0.000  -0.03

***

An optimized crystal structure of Np2PH2, computed with PBE.

Results
Energy ... -7.94 eV/atom
Magnetic moment ... 8.46 μB per formula unit

Cell lengths 6.139, 6.139, 5.676 Å; angles 114.89, 114.85, 102.81 degrees
Last column: magnetic moment on the atom in μB.
Fractional coordinates of all 10 atoms:
Np 0.589 0.411 0.750  3.91
P 0.125 0.875 0.250  -0.12
H 0.499 0.749 0.999  -0.02
P 0.875 0.125 0.750  -0.12
Np 0.838 0.161 0.250  3.90
Np 0.162 0.839 0.750  3.90
H 0.250 0.500 0.501  -0.02
Np 0.411 0.589 0.250  3.91
H 0.501 0.251 0.001  -0.02
H 0.750 0.500 0.499  -0.02

***

An optimized crystal structure of Np5P5H2, computed with PBE.

Results
Energy ... -8.82 eV/atom
Magnetic moment ... 3.92 μB per formula unit

Cell lengths 3.739, 7.074, 8.060 Å; angles 91.27, 76.59, 74.68 degrees
Last column: magnetic moment on the atom in μB.
Fractional coordinates of all 12 atoms:
H 0.859 0.521 0.762  0.01
P 0.590 0.720 0.101  0.02
P 0.500 0.500 0.500  -0.06
P 0.410 0.280 0.899  0.02
H 0.141 0.479 0.238  0.01
Np 0.752 0.327 0.168  -2.57
Np 0.248 0.673 0.832  -2.57
P 0.668 0.947 0.717  -0.02
Np 0.928 0.760 0.383  3.53
Np 0.000 0.000 0.000  1.48
Np 0.072 0.240 0.617  3.53
P 0.332 0.053 0.283  -0.02

***

An optimized crystal structure of Np2PH, computed with PBE.

Results
Energy ... -8.99 eV/atom
Magnetic moment ... 8.53 μB per formula unit
Relative energy among the computed polymorphs ... 0.0 meV per atom

Cell lengths 3.687, 3.687, 6.409 Å; angles 73.29, 73.29, 60.00 degrees
Last column: magnetic moment on the atom in μB.
Fractional coordinates of all 4 atoms:
H 0.500 0.500 0.500  -0.03
Np 0.238 0.238 0.285  3.92
Np 0.762 0.762 0.715  3.92
P 0.000 0.000 0.000  -0.11

***

An optimized crystal structure of Np3P2H2, computed with PBE.

Results
Energy ... -8.52 eV/atom
Magnetic moment ... 3.77 μB per formula unit

Cell lengths 3.521, 4.568, 7.005 Å; angles 94.28, 75.47, 112.65 degrees
Last column: magnetic moment on the atom in μB.
Fractional coordinates of all 7 atoms:
Np 0.130 0.813 0.553  0.24
P 0.676 0.604 0.251  -0.05
P 0.324 0.396 0.749  -0.05
Np 0.870 0.187 0.447  0.24
H 0.968 0.805 0.868  -0.02
Np 0.500 0.000 0.000  3.32
H 0.032 0.195 0.132  -0.02

***

An optimized crystal structure of NpP2H2Pt7, computed with PBE.

Results
Energy ... -6.40 eV/atom
Magnetic moment ... 3.33 μB per formula unit

Cell lengths 3.998, 3.998, 12.630 Å; angles 72.14, 72.14, 91.80 degrees
Last column: magnetic moment on the atom in μB.
Fractional coordinates of all 12 atoms:
P 0.818 0.818 0.682  -0.01
Pt 0.500 0.500 0.000  -0.01
H 0.588 0.588 0.412  0.00
H 0.412 0.412 0.588  0.00
Pt 0.802 0.302 0.198  -0.01
Pt 0.759 0.759 0.500  0.00
Pt 0.198 0.698 0.802  -0.01
Pt 0.698 0.198 0.802  -0.01
Np 0.000 0.000 0.000  3.30
P 0.182 0.182 0.318  -0.01
Pt 0.241 0.241 0.500  0.00
Pt 0.302 0.802 0.198  -0.01

***

An optimized crystal structure of NpPHRu, computed with PBE.

Results
Energy ... -8.35 eV/atom
Magnetic moment ... 3.78 μB per formula unit

Cell lengths 4.000, 4.000, 6.933 Å; angles 90.00, 90.00, 90.00 degrees
Last column: magnetic moment on the atom in μB.
Fractional coordinates of all 8 atoms:
P 0.500 0.000 0.185  -0.03
Ru 0.500 0.500 0.000  -0.09
Ru 0.000 0.000 0.000  -0.09
H 0.000 0.000 0.500  -0.02
Np 0.500 0.000 0.649  3.66
P 0.000 0.500 0.815  -0.03
Np 0.000 0.500 0.351  3.66
H 0.500 0.500 0.500  -0.02

***

An optimized crystal structure of NpPHRu2, computed with PBE.

Results
Energy ... -8.40 eV/atom
Magnetic moment ... 3.00 μB per formula unit

Cell lengths 3.871, 5.710, 6.709 Å; angles 90.00, 90.00, 109.81 degrees
Last column: magnetic moment on the atom in μB.
Fractional coordinates of all 10 atoms:
Np 0.569 0.137 0.250  3.43
P 0.708 0.417 0.750  -0.01
Np 0.431 0.863 0.750  3.43
Ru 0.162 0.323 0.958  -0.30
Ru 0.838 0.677 0.042  -0.30
P 0.292 0.583 0.250  -0.01
Ru 0.162 0.323 0.542  -0.30
H 0.000 0.000 0.500  -0.01
Ru 0.838 0.677 0.458  -0.30
H 0.000 0.000 0.000  -0.01

***

An optimized crystal structure of NpPH2Ru, computed with PBE.

Results
Energy ... -7.31 eV/atom
Magnetic moment ... 4.08 μB per formula unit

Cell lengths 3.872, 5.470, 5.738 Å; angles 90.00, 90.00, 110.73 degrees
Last column: magnetic moment on the atom in μB.
Fractional coordinates of all 10 atoms:
H 0.166 0.332 0.571  -0.01
Ru 0.000 0.000 0.000  0.18
H 0.166 0.332 0.929  -0.01
Np 0.713 0.426 0.750  3.71
H 0.834 0.668 0.429  -0.01
P 0.428 0.855 0.750  -0.06
Np 0.287 0.574 0.250  3.71
H 0.834 0.668 0.071  -0.01
P 0.572 0.145 0.250  -0.06
Ru 0.000 0.000 0.500  0.18

***

An optimized crystal structure of Np2PH2S, computed with PBE.

Results
Energy ... -7.86 eV/atom
Magnetic moment ... 6.99 μB per formula unit

Cell lengths 3.792, 3.792, 7.149 Å; angles 90.00, 90.00, 120.00 degrees
Last column: magnetic moment on the atom in μB.
Fractional coordinates of all 6 atoms:
H 0.667 0.333 0.249  -0.02
H 0.333 0.667 0.751  -0.02
Np 0.333 0.667 0.248  3.47
Np 0.667 0.333 0.752  3.47
S 0.000 0.000 0.500  -0.11
P 0.000 0.000 0.000  -0.14

***

An optimized crystal structure of Np2SbPH2, computed with PBE.

Results
Energy ... -7.47 eV/atom
Magnetic moment ... 6.47 μB per formula unit

Cell lengths 3.807, 3.807, 8.025 Å; angles 90.00, 90.00, 120.00 degrees
Last column: magnetic moment on the atom in μB.
Fractional coordinates of all 6 atoms:
Np 0.333 0.667 0.717  3.31
Sb 0.000 0.000 0.000  -0.12
H 0.667 0.333 0.737  -0.02
Np 0.667 0.333 0.283  3.31
H 0.333 0.667 0.263  -0.02
P 0.000 0.000 0.500  -0.14

***

An optimized crystal structure of NpTcPH, computed with PBE.

Results
Energy ... -8.54 eV/atom
Magnetic moment ... 3.91 μB per formula unit

Cell lengths 4.047, 4.047, 6.929 Å; angles 90.00, 90.00, 90.00 degrees
Last column: magnetic moment on the atom in μB.
Fractional coordinates of all 8 atoms:
P 0.500 0.000 0.685  -0.03
Np 0.500 0.000 0.149  3.78
Tc 0.500 0.500 0.500  -0.13
H 0.000 0.000 0.000  -0.02
Tc 0.000 0.000 0.500  -0.13
P 0.000 0.500 0.315  -0.03
H 0.500 0.500 0.000  -0.02
Np 0.000 0.500 0.851  3.78

***

An optimized crystal structure of Np2Tc2P2H, computed with PBE.

Results
Energy ... -9.17 eV/atom
Magnetic moment ... 8.02 μB per formula unit

Cell lengths 4.003, 4.003, 7.385 Å; angles 105.73, 105.73, 90.00 degrees
Last column: magnetic moment on the atom in μB.
Fractional coordinates of all 7 atoms:
Tc 0.000 0.500 0.000  -0.24
P 0.387 0.387 0.774  -0.04
Np 0.830 0.830 0.660  3.83
P 0.613 0.613 0.226  -0.04
Np 0.170 0.170 0.340  3.83
H 0.000 0.000 0.000  0.00
Tc 0.500 0.000 0.000  -0.24

***

An optimized crystal structure of NpTcPH2, computed with PBE.

Results
Energy ... -7.52 eV/atom
Magnetic moment ... 3.48 μB per formula unit

Cell lengths 3.846, 5.455, 5.820 Å; angles 90.00, 90.00, 110.64 degrees
Last column: magnetic moment on the atom in μB.
Fractional coordinates of all 10 atoms:
H 0.830 0.659 0.067  -0.01
Tc 0.000 0.000 0.500  -0.17
H 0.830 0.659 0.433  -0.01
H 0.170 0.341 0.933  -0.01
P 0.422 0.843 0.750  -0.06
H 0.170 0.341 0.567  -0.01
Np 0.293 0.586 0.250  3.52
Tc 0.000 0.000 0.000  -0.17
Np 0.707 0.414 0.750  3.52
P 0.578 0.157 0.250  -0.06

***

An optimized crystal structure of Np2TePH2, computed with PBE.

Results
Energy ... -7.48 eV/atom
Magnetic moment ... 7.00 μB per formula unit

Cell lengths 3.867, 3.867, 7.894 Å; angles 90.00, 90.00, 120.00 degrees
Last column: magnetic moment on the atom in μB.
Fractional coordinates of all 6 atoms:
H 0.333 0.667 0.263  -0.02
Np 0.333 0.667 0.719  3.51
Te 0.000 0.000 0.000  -0.12
P 0.000 0.000 0.500  -0.14
Np 0.667 0.333 0.281  3.51
H 0.667 0.333 0.737  -0.02

***

An optimized crystal structure of Np2PaH8, computed with PBE.

Results
Energy ... -5.90 eV/atom
Magnetic moment ... 9.32 μB per formula unit

Cell lengths 3.559, 5.635, 6.239 Å; angles 116.85, 106.57, 90.00 degrees
Last column: magnetic moment on the atom in μB.
Fractional coordinates of all 11 atoms:
H 0.160 0.160 0.321  -0.02
Pa 0.500 0.000 0.000  0.97
Np 0.828 0.328 0.657  3.86
H 0.339 0.579 0.678  -0.02
H 0.339 0.099 0.678  -0.02
Np 0.172 0.672 0.343  3.86
H 0.840 0.840 0.679  -0.02
H 0.661 0.421 0.322  -0.02
H 0.000 0.263 0.000  -0.01
H 0.661 0.901 0.322  -0.02
H 0.000 0.737 0.000  -0.01